5
Lattice="3.902 0.000 0.000 0.000 3.902 0.000 0.000 0.000 5.149" Properties=species:S:1:pos:R:3 comment="PBE VSnSeN2, optimized geometry" e_form_raw_ev_per_atom=0.245 polymorph_energy_mev_per_atom=0 magnetic_moment_mub_per_fu=0.000 dos_ef_per_ev_cell=2.91 e_tot_ev_per_atom=-6.41 pbc="T T T"
N 0.000 1.951 0.000
N 1.951 0.000 0.000
V 0.000 0.000 0.000
Sn 1.951 1.951 2.575
Se 0.000 0.000 2.575

5
Lattice="-1.677 0.200 3.656 3.599 -0.652 1.686 0.921 5.410 0.127" Properties=species:S:1:pos:R:3 comment="PBE VSnSeN2, optimized geometry" e_form_raw_ev_per_atom=1.429 polymorph_energy_mev_per_atom=1184 magnetic_moment_mub_per_fu=1.214 dos_ef_per_ev_cell=4.74 e_tot_ev_per_atom=-5.22 pbc="T T T"
N -0.839 0.100 1.828
N 1.799 -0.326 0.843
V 1.421 2.479 2.735
Sn 0.000 0.000 0.000
Se 0.461 2.705 0.063

5
Lattice="5.316 0.000 0.000 0.000 5.316 0.000 0.000 0.000 3.874" Properties=species:S:1:pos:R:3 comment="PBE SnWSe2N, optimized geometry" e_form_raw_ev_per_atom=1.508 polymorph_energy_mev_per_atom=1489 magnetic_moment_mub_per_fu=2.838 dos_ef_per_ev_cell=3.99 e_tot_ev_per_atom=-4.94 pbc="T T T"
W 2.658 2.658 1.937
Se 2.658 0.000 0.000
Se 0.000 2.658 0.000
N 0.000 0.000 1.937
Sn 0.000 0.000 0.000